Here is crystalline LiCeSb2 at its relaxed geometry from Alexandria. Energies are from GGA-PBE.

Cell: 5.2612 5.2612 5.2612 Å, 60.00 60.00 60.00°
Element x y z (fractional)
1 Li 0.0000 0.0000 0.0000
2 Ce 0.5000 0.5000 0.5000
3 Sb 0.2500 0.2500 0.2500
4 Sb 0.7500 0.7500 0.7500

raw formation energy = -2.430 eV/f.u.
total magnetic moment = 0.18 μB/f.u.
calculated volume = 103.0 Å³ per cell
calculated density = 6.30 Mg/m³
E above lowest polymorph = 209 meV per atom